Material: SrBe2Re
Method: DFT, PBE-GGA
State: optimized geometry

```
data_SrBe2Re
_cell_length_a 2.8066
_cell_length_b 2.8066
_cell_length_c 27.8494
_cell_angle_alpha 90.00
_cell_angle_beta 90.00
_cell_angle_gamma 120.00
_space_group_name_H-M_alt 'R 3 m'
_space_group_IT_number 160
_space_group_name_Hall 'R 3 -2"'
loop_
_atom_site_label
_atom_site_type_symbol
_atom_site_fract_x
_atom_site_fract_y
_atom_site_fract_z
_atom_site_occupancy
Sr1 Sr 0.0000 0.0000 0.0000 1
Be1 Be 0.0000 0.0000 0.4961 1
Be2 Be 0.0000 0.0000 0.7661 1
Re1 Re 0.0000 0.0000 0.2313 1
```

Results
Energy relative to the elements, eV per atom: 1.056